Version i
Computed, not measured: an optimized crystal structure of BaMoOs at the GGA-PBE level of DFT.

Properties
Volume ... 24.30 A^3/atom
Crystal system ... cubic
Fermi-level density of states ... 4.83 states/eV/f.u.
Spin magnetization ... 1.8 μB per formula unit

Cell: 6.631 6.631 6.631 Å, 90.00 90.00 90.00°
Space group F-43m (No. 216)
Asymmetric unit:
Ba (0.000, 0.000, 0.000)
Mo (0.250, 0.250, 0.750)
Os (0.250, 0.250, 0.250)


Version ii
Computed, not measured: an optimized crystal structure of BaMoOs at the GGA-PBE level of DFT.

Properties
Volume ... 21.43 A^3/atom
Crystal system ... trigonal
Fermi-level density of states ... 3.44 states/eV/f.u.
Spin magnetization ... 0.0 μB per formula unit

Cell: 3.0599 3.0599 7.9300 Å, 90.00 90.00 120.00°
Space group P3m1 (No. 156)
Asymmetric unit:
Ba (0.0000, 0.0000, 0.0000)
Mo (0.6667, 0.3333, 0.3902)
Os (0.3333, 0.6667, 0.6302)


Verdict on stability: version i comes out at the bottom.


Version i
Computed, not measured: an optimized crystal structure of BaMoOs at the GGA-PBE level of DFT.

Properties
Volume ... 23.38 A^3/atom
Crystal system ... cubic
Fermi-level density of states ... 1.96 states/eV/f.u.
Spin magnetization ... 0.0 μB per formula unit

Cell: 6.546 6.546 6.546 Å, 90.00 90.00 90.00°
Space group F-43m (No. 216)
Asymmetric unit:
Ba (0.000, 0.000, 0.000)
Mo (0.250, 0.250, 0.250)
Os (0.000, 0.000, 0.500)


Version ii
Computed, not measured: an optimized crystal structure of BaMoOs at the GGA-PBE level of DFT.

Properties
Volume ... 23.38 A^3/atom
Crystal system ... tetragonal
Fermi-level density of states ... 3.67 states/eV/f.u.
Spin magnetization ... 0.0 μB per formula unit

Cell: 3.283 3.283 13.016 Å, 90.00 90.00 90.00°
Space group I4mm (No. 107)
Asymmetric unit:
Ba (0.000, 0.000, 0.000)
Mo (0.000, 0.000, 0.713)
Os (0.000, 0.000, 0.296)


Version iii
Computed, not measured: an optimized crystal structure of BaMoOs at the GGA-PBE level of DFT.

Properties
Volume ... 27.52 A^3/atom
Crystal system ... trigonal
Fermi-level density of states ... 2.27 states/eV/f.u.
Spin magnetization ... 0.0 μB per formula unit

Cell: 4.1872 4.1872 5.4373 Å, 90.00 90.00 120.00°
Space group P3m1 (No. 156)
Asymmetric unit:
Ba (0.0000, 0.0000, 0.0000)
Mo (0.6667, 0.3333, 0.4821)
Os (0.3333, 0.6667, 0.5324)


Verdict on stability: version i comes out at the bottom.


Version i
Computed, not measured: an optimized crystal structure of BaMoOs2 at the GGA-PBE level of DFT.

Properties
Volume ... 18.60 A^3/atom
Crystal system ... orthorhombic
Fermi-level density of states ... 4.86 states/eV/f.u.
Spin magnetization ... 0.0 μB per formula unit

Cell: 3.056 4.793 5.078 Å, 90.00 90.00 90.00°
Space group Pmmm (No. 47)
Asymmetric unit:
Ba (0.000, 0.000, 0.000)
Mo (0.500, 0.500, 0.000)
Os (0.000, 0.500, 0.500)
Os (0.500, 0.000, 0.500)


Version ii
Computed, not measured: an optimized crystal structure of BaMoOs2 at the GGA-PBE level of DFT.

Properties
Volume ... 23.12 A^3/atom
Crystal system ... monoclinic
Fermi-level density of states ... 4.24 states/eV/f.u.
Spin magnetization ... 0.0 μB per formula unit

Cell: 8.999 3.080 6.874 Å, 90.00 103.92 90.00°
Space group C2/m (No. 12)
Asymmetric unit:
Ba (0.000, 0.000, 0.000)
Mo (0.000, 0.500, 0.500)
Os (0.223, 0.000, 0.639)


Version iii
Computed, not measured: an optimized crystal structure of BaMoOs2 at the GGA-PBE level of DFT.

Properties
Volume ... 21.68 A^3/atom
Crystal system ... monoclinic
Fermi-level density of states ... 4.95 states/eV/f.u.
Spin magnetization ... 0.0 μB per formula unit

Cell: 2.943 4.048 7.380 Å, 90.00 99.48 90.00°
Space group P2/m (No. 10)
Asymmetric unit:
Ba (0.000, 0.000, 0.000)
Mo (0.500, 0.000, 0.500)
Os (0.250, 0.500, 0.663)


Version iv
Computed, not measured: an optimized crystal structure of BaMoOs2 at the GGA-PBE level of DFT.

Properties
Volume ... 25.38 A^3/atom
Crystal system ... trigonal
Fermi-level density of states ... 3.22 states/eV/f.u.
Spin magnetization ... 0.0 μB per formula unit

Cell: 4.3886 4.3886 18.2632 Å, 90.00 90.00 120.00°
Space group R3m (No. 160, hexagonal axes)
Asymmetric unit:
Ba (0.0000, 0.0000, 0.0000)
Mo (0.0000, 0.0000, 0.1898)
Os (0.0000, 0.0000, 0.4827)
Os (0.0000, 0.0000, 0.8122)


Verdict on stability: version i comes out at the bottom.


Version i
Computed, not measured: an optimized crystal structure of BaMoOs2 at the GGA-PBE level of DFT.

Properties
Volume ... 22.12 A^3/atom
Crystal system ... monoclinic
Fermi-level density of states ... 4.86 states/eV/f.u.
Spin magnetization ... 0.0 μB per formula unit

Cell: 3.012 4.157 7.127 Å, 90.00 97.63 90.00°
Space group Pm (No. 6)
Asymmetric unit:
Ba (0.000, 0.000, 0.000)
Mo (0.836, 0.500, 0.387)
Os (0.362, 0.500, 0.697)
Os (0.448, 0.000, 0.495)


Version ii
Computed, not measured: an optimized crystal structure of BaMoOs2 at the GGA-PBE level of DFT.

Properties
Volume ... 19.18 A^3/atom
Crystal system ... cubic
Fermi-level density of states ... 2.26 states/eV/f.u.
Spin magnetization ... 0.0 μB per formula unit

Cell: 6.745 6.745 6.745 Å, 90.00 90.00 90.00°
Space group Fm-3m (No. 225)
Asymmetric unit:
Ba (0.000, 0.000, 0.000)
Mo (0.000, 0.000, 0.500)
Os (0.250, 0.250, 0.250)


Version iii
Computed, not measured: an optimized crystal structure of BaMoOs2 at the GGA-PBE level of DFT.

Properties
Volume ... 20.06 A^3/atom
Crystal system ... tetragonal
Fermi-level density of states ... 5.15 states/eV/f.u.
Spin magnetization ... 0.0 μB per formula unit

Cell: 3.148 3.148 8.098 Å, 90.00 90.00 90.00°
Space group P4/mmm (No. 123)
Asymmetric unit:
Ba (0.000, 0.000, 0.000)
Mo (0.000, 0.000, 0.500)
Os (0.500, 0.500, 0.320)


Version iv
Computed, not measured: an optimized crystal structure of BaMoOs2 at the GGA-PBE level of DFT.

Properties
Volume ... 19.45 A^3/atom
Crystal system ... tetragonal
Fermi-level density of states ... 6.86 states/eV/f.u.
Spin magnetization ... 0.0 μB per formula unit

Cell: 5.070 5.070 3.028 Å, 90.00 90.00 90.00°
Space group P4/mmm (No. 123)
Asymmetric unit:
Ba (0.000, 0.000, 0.000)
Mo (0.500, 0.500, 0.000)
Os (0.000, 0.500, 0.500)


Verdict on stability: version iv comes out at the bottom.


Version i
Computed, not measured: an optimized crystal structure of BaMoOs2 at the GGA-PBE level of DFT.

Properties
Volume ... 20.31 A^3/atom
Crystal system ... orthorhombic
Fermi-level density of states ... 3.97 states/eV/f.u.
Spin magnetization ... 0.0 μB per formula unit

Cell: 2.880 5.371 10.503 Å, 90.00 90.00 90.00°
Space group Imm2 (No. 44)
Asymmetric unit:
Ba (0.000, 0.000, 0.000)
Mo (0.000, 0.500, 0.793)
Os (0.000, 0.000, 0.507)
Os (0.000, 0.500, 0.211)


Version ii
Computed, not measured: an optimized crystal structure of BaMoOs2 at the GGA-PBE level of DFT.

Properties
Volume ... 18.90 A^3/atom
Crystal system ... trigonal
Fermi-level density of states ... 4.34 states/eV/f.u.
Spin magnetization ... 0.0 μB per formula unit

Cell: 2.9347 2.9347 30.4131 Å, 90.00 90.00 120.00°
Space group R-3m (No. 166, hexagonal axes)
Asymmetric unit:
Ba (0.0000, 0.0000, 0.0000)
Mo (0.0000, 0.0000, 0.5000)
Os (0.0000, 0.0000, 0.2357)


Version iii
Computed, not measured: an optimized crystal structure of BaMoOs2 at the GGA-PBE level of DFT.

Properties
Volume ... 23.14 A^3/atom
Crystal system ... tetragonal
Fermi-level density of states ... 2.30 states/eV/f.u.
Spin magnetization ... 0.0 μB per formula unit

Cell: 7.531 7.531 6.526 Å, 90.00 90.00 90.00°
Space group I-42d (No. 122)
Asymmetric unit:
Ba (0.000, 0.000, 0.000)
Mo (0.000, 0.000, 0.500)
Os (0.178, 0.250, 0.625)


Verdict on stability: version iii comes out at the bottom.


Version i
Computed, not measured: an optimized crystal structure of BaMoOs2 at the GGA-PBE level of DFT.

Properties
Volume ... 19.33 A^3/atom
Crystal system ... orthorhombic
Fermi-level density of states ... 7.00 states/eV/f.u.
Spin magnetization ... 0.0 μB per formula unit

Cell: 6.549 8.124 2.907 Å, 90.00 90.00 90.00°
Space group Cmmm (No. 65)
Asymmetric unit:
Ba (0.000, 0.000, 0.000)
Mo (0.000, 0.500, 0.000)
Os (0.250, 0.250, 0.500)


Version ii
Computed, not measured: an optimized crystal structure of BaMoOs2 at the GGA-PBE level of DFT.

Properties
Volume ... 21.18 A^3/atom
Crystal system ... orthorhombic
Fermi-level density of states ... 4.75 states/eV/f.u.
Spin magnetization ... 0.0 μB per formula unit

Cell: 2.884 3.736 7.865 Å, 90.00 90.00 90.00°
Space group Pmm2 (No. 25)
Asymmetric unit:
Ba (0.000, 0.000, 0.000)
Mo (0.500, 0.500, 0.349)
Os (0.000, 0.000, 0.527)
Os (0.500, 0.500, 0.674)


Verdict on stability: version i comes out at the bottom.


Version i
Computed, not measured: an optimized crystal structure of BaMoOs2 at the GGA-PBE level of DFT.

Properties
Volume ... 18.53 A^3/atom
Crystal system ... cubic
Fermi-level density of states ... 5.31 states/eV/f.u.
Spin magnetization ... 0.4 μB per formula unit

Cell: 6.669 6.669 6.669 Å, 90.00 90.00 90.00°
Space group F-43m (No. 216)
Asymmetric unit:
Ba (0.000, 0.000, 0.000)
Mo (0.250, 0.250, 0.250)
Os (0.000, 0.000, 0.500)
Os (0.250, 0.250, 0.750)


Version ii
Computed, not measured: an optimized crystal structure of BaMoOs2 at the GGA-PBE level of DFT.

Properties
Volume ... 19.22 A^3/atom
Crystal system ... orthorhombic
Fermi-level density of states ... 4.21 states/eV/f.u.
Spin magnetization ... 0.0 μB per formula unit

Cell: 2.926 5.164 10.177 Å, 90.00 90.00 90.00°
Space group Immm (No. 71)
Asymmetric unit:
Ba (0.000, 0.000, 0.000)
Mo (0.000, 0.000, 0.500)
Os (0.000, 0.500, 0.219)


Verdict on stability: version i comes out at the bottom.


Version i
Computed, not measured: an optimized crystal structure of BaMo3Os at the GGA-PBE level of DFT.

Properties
Volume ... 24.02 A^3/atom
Crystal system ... cubic
Fermi-level density of states ... 6.14 states/eV/f.u.
Spin magnetization ... 3.1 μB per formula unit

Cell: 4.934 4.934 4.934 Å, 90.00 90.00 90.00°
Space group Pm-3m (No. 221)
Asymmetric unit:
Ba (0.000, 0.000, 0.000)
Mo (0.000, 0.500, 0.500)
Os (0.500, 0.500, 0.500)


Version ii
Computed, not measured: an optimized crystal structure of BaMo3Os at the GGA-PBE level of DFT.

Properties
Volume ... 22.54 A^3/atom
Crystal system ... cubic
Fermi-level density of states ... 9.41 states/eV/f.u.
Spin magnetization ... 0.0 μB per formula unit

Cell: 4.830 4.830 4.830 Å, 90.00 90.00 90.00°
Space group Pm-3m (No. 221)
Asymmetric unit:
Ba (0.000, 0.000, 0.000)
Mo (0.000, 0.000, 0.500)
Os (0.500, 0.500, 0.500)


Verdict on stability: version ii comes out at the bottom.


Version i
Computed, not measured: an optimized crystal structure of BaMoP at the GGA-PBE level of DFT.

Properties
Volume ... 22.78 A^3/atom
Crystal system ... tetragonal
Fermi-level density of states ... 1.94 states/eV/f.u.
Spin magnetization ... 0.0 μB per formula unit

Cell: 3.365 3.365 12.067 Å, 90.00 90.00 90.00°
Space group I4mm (No. 107)
Asymmetric unit:
Ba (0.000, 0.000, 0.000)
Mo (0.000, 0.000, 0.716)
P (0.000, 0.000, 0.276)


Version ii
Computed, not measured: an optimized crystal structure of BaMoP at the GGA-PBE level of DFT.

Properties
Volume ... 27.87 A^3/atom
Crystal system ... tetragonal
Fermi-level density of states ... 2.79 states/eV/f.u.
Spin magnetization ... 0.0 μB per formula unit

Cell: 3.979 3.979 10.561 Å, 90.00 90.00 90.00°
Space group P4/nmm (No. 129, origin choice 2)
Asymmetric unit:
Ba (0.250, 0.250, 0.201)
Mo (0.250, 0.750, 0.500)
P (0.250, 0.250, 0.644)


Version iii
Computed, not measured: an optimized crystal structure of BaMoP at the GGA-PBE level of DFT.

Properties
Volume ... 28.98 A^3/atom
Crystal system ... cubic
Fermi-level density of states ... 2.41 states/eV/f.u.
Spin magnetization ... 4.6 μB per formula unit

Cell: 7.032 7.032 7.032 Å, 90.00 90.00 90.00°
Space group F-43m (No. 216)
Asymmetric unit:
Ba (0.000, 0.000, 0.000)
Mo (0.250, 0.250, 0.250)
P (0.000, 0.000, 0.500)


Verdict on stability: version iii comes out at the bottom.


Version i
Computed, not measured: an optimized crystal structure of BaMoP2 at the GGA-PBE level of DFT.

Properties
Volume ... 20.58 A^3/atom
Crystal system ... cubic
Fermi-level density of states ... 2.53 states/eV/f.u.
Spin magnetization ... 1.6 μB per formula unit

Cell: 6.905 6.905 6.905 Å, 90.00 90.00 90.00°
Space group Fm-3m (No. 225)
Asymmetric unit:
Ba (0.000, 0.000, 0.000)
Mo (0.000, 0.000, 0.500)
P (0.250, 0.250, 0.250)


Version ii
Computed, not measured: an optimized crystal structure of BaMoP2 at the GGA-PBE level of DFT.

Properties
Volume ... 21.47 A^3/atom
Crystal system ... monoclinic
Fermi-level density of states ... 3.33 states/eV/f.u.
Spin magnetization ... 2.5 μB per formula unit

Cell: 7.441 7.444 3.101 Å, 90.00 90.47 90.00°
Space group C2/m (No. 12)
Asymmetric unit:
Ba (0.000, 0.000, 0.000)
Mo (0.000, 0.500, 0.000)
P (0.250, 0.250, 0.500)


Version iii
Computed, not measured: an optimized crystal structure of BaMoP2 at the GGA-PBE level of DFT.

Properties
Volume ... 21.72 A^3/atom
Crystal system ... hexagonal
Fermi-level density of states ... 1.35 states/eV/f.u.
Spin magnetization ... 0.0 μB per formula unit

Cell: 3.6153 3.6153 15.3500 Å, 90.00 90.00 120.00°
Space group P6_3/mmc (No. 194)
Asymmetric unit:
Ba (0.0000, 0.0000, 0.0000)
Mo (0.0000, 0.0000, 0.2500)
P (0.3333, 0.6667, 0.1588)


Version iv
Computed, not measured: an optimized crystal structure of BaMoP2 at the GGA-PBE level of DFT.

Properties
Volume ... 23.06 A^3/atom
Crystal system ... tetragonal
Fermi-level density of states ... 2.55 states/eV/f.u.
Spin magnetization ... 2.8 μB per formula unit

Cell: 4.210 4.210 10.408 Å, 90.00 90.00 90.00°
Space group I-4m2 (No. 119)
Asymmetric unit:
Ba (0.000, 0.000, 0.000)
Mo (0.000, 0.500, 0.750)
P (0.000, 0.000, 0.500)
P (0.000, 0.500, 0.250)


Verdict on stability: version iv comes out at the bottom.